First-principles (PBE-GGA) data for a relaxed structure of Tb3Sc2Bi3, as listed in the Open Quantum Materials Database.

a b c (Å): 8.987 8.987 6.218
angles (deg): 90.00 90.00 120.00
Sites, in units of the cell vectors:
Tb 0.000 0.244 0.250
Tb 0.000 0.756 0.750
Tb 0.244 0.000 0.250
Tb 0.244 0.244 0.750
Tb 0.756 0.000 0.750
Tb 0.756 0.756 0.250
Sc 0.333 0.667 0.000
Sc 0.333 0.667 0.500
Sc 0.667 0.333 0.000
Sc 0.667 0.333 0.500
Bi 0.000 0.396 0.750
Bi 0.000 0.604 0.250
Bi 0.396 0.000 0.750
Bi 0.396 0.396 0.250
Bi 0.604 0.000 0.250
Bi 0.604 0.604 0.750

The total energy comes out at -5.53 eV/atom. The space group is P6_3/mcm (193). The value obtained for the spin magnetization is 0.116 μB/atom. The calculation puts the density at 9.11 g/cm3.